Record 1
Here is a relaxed structure of RbBr2Cl from the Alexandria database. Energies are from PBE.

Calculated values
E: -2.512 eV/atom
Offset from the most stable computed form: 0.000 eV/atom
Raw formation energy: -94 kJ per mole of atoms

a b c (Å): 10.408 5.210 6.675
angles (deg): 90.00 97.63 90.00
Space group Cm (No. 8)
Symmetry-distinct sites (fractional):
Rb1 0.000 0.000 0.000 (multiplicity 2)
Br1 0.144 0.500 0.741 (multiplicity 2)
Br2 0.482 0.000 0.425 (multiplicity 2)
Cl1 0.324 0.000 0.108 (multiplicity 2)

***

Record 2
Here is a relaxed structure of Rb8Br4Cl3 from the Alexandria database. Energies are from PBE.

Calculated values
E: -3.009 eV/atom
Raw formation energy: -162 kJ per mole of atoms

a b c (Å): 13.809 13.814 9.761
angles (deg): 90.00 134.97 90.00
Space group C2/m (No. 12)
Symmetry-distinct sites (fractional):
Rb1 0.000 0.246 0.000 (multiplicity 4)
Rb2 0.000 0.250 0.500 (multiplicity 4)
Rb3 0.246 0.000 0.000 (multiplicity 4)
Rb4 0.247 0.000 0.492 (multiplicity 4)
Br1 0.000 0.000 0.500 (multiplicity 2)
Br2 0.000 0.500 0.000 (multiplicity 2)
Br3 0.250 0.250 0.000 (multiplicity 4)
Cl1 0.000 0.000 0.000 (multiplicity 2)
Cl2 0.250 0.250 0.500 (multiplicity 4)